Record 1
ErSc2Te after structural relaxation. Source: Alexandria, functional PBE.

Computed properties:
energy above the lowest structure with this stoichiometry	528	meV/atom
ΔE_f (raw)	-0.105	eV/atom
E_tot	-20.8	eV/cell
total magnetization	0.356	μB per atom
space group	R-3m, No. 166

Cell lengths 3.670, 3.670, 10.203 Å; angles 79.64, 79.64, 60.00 degrees
Sites, in units of the cell vectors:
Sc  0.102  0.102  0.695
Sc  0.898  0.898  0.305
Er  0.000  0.000  0.000
Te  0.500  0.500  0.500

---

Record 2
KGe3C after structural relaxation. Source: Alexandria, functional PBE.

Computed properties:
energy above the lowest structure with this stoichiometry	0	meV/atom
formation energy	1.01	eV per atom
E_tot	-19.1	eV/cell
total magnetization	0.000	μB per atom
space group	Pm-3m, No. 221

Cell lengths 4.680, 4.680, 4.680 Å; angles 90.00, 90.00, 90.00 degrees
Sites, in units of the cell vectors:
K  0.500  0.500  0.500
Ge  0.500  0.000  0.000
Ge  0.000  0.000  0.500
Ge  0.000  0.500  0.000
C  0.000  0.000  0.000

---

Record 3
Pm4Ho2Sc3 after structural relaxation. Source: Alexandria, functional PBE.

Computed properties:
formation energy	0.05	eV per atom
E_tot	-46.7	eV/cell
total magnetization	0.000	μB per atom
space group	C2/m, No. 12

Cell lengths 4.896, 7.866, 7.809 Å; angles 107.46, 108.27, 90.00 degrees
Sites, in units of the cell vectors:
Ho  0.665  0.998  0.330
Ho  0.335  0.002  0.670
Sc  0.889  0.328  0.779
Sc  0.000  0.000  0.000
Sc  0.111  0.672  0.221
Pm  0.224  0.333  0.448
Pm  0.776  0.667  0.552
Pm  0.552  0.332  0.104
Pm  0.448  0.668  0.896